Crystalline Sc2CoNi at its relaxed geometry, computed with PBE-GGA.

Unit cell a=3.8719 b=3.5142 c=9.7023 alpha=90.00 beta=90.00 gamma=90.00
Last column: nearest neighbours and their distance in Å.
Space group Amm2 (No. 38)
Symmetry-distinct sites (fractional):
Sc: 0.0000 0.0000 0.0000  4 Co 2.70, 3 Ni 2.74-2.75
Sc: 0.5000 0.0000 0.2890  4 Ni 2.71, 3 Co 2.72-2.77
Co: 0.5000 0.0000 0.5689  2 Ni 2.41, 4 Sc 2.70
Ni: 0.0000 0.0000 0.7170  2 Co 2.41

**Energy of formation**: -1.5 eV per formula unit

---

Crystalline AgHg3 at its relaxed geometry, computed with PBE-GGA.

Unit cell a=4.5642 b=4.5642 c=8.6954 alpha=90.00 beta=90.00 gamma=90.00
Last column: nearest neighbours and their distance in Å.
Space group I4/mmm (No. 139)
Symmetry-distinct sites (fractional):
Ag: 0.0000 0.0000 0.0000  12 Hg 3.15-3.23
Hg: 0.0000 0.0000 0.5000  8 Hg 3.15, 4 Ag 3.23
Hg: 0.0000 0.5000 0.2500  4 Ag 3.15, 8 Hg 3.15-3.23

**Energy of formation**: 0.4 eV per formula unit

---

Crystalline Ti2CuSb at its relaxed geometry, computed with PBE-GGA.

Unit cell a=7.2381 b=7.2381 c=5.5103 alpha=90.00 beta=90.00 gamma=90.00
Last column: nearest neighbours and their distance in Å.
Space group I-42d (No. 122)
Symmetry-distinct sites (fractional):
Ti: 0.2268 0.7500 0.1250  2 Cu 2.54, 2 Sb 2.77, 2 Ti 2.78
Cu: 0.0000 0.0000 0.0000  4 Ti 2.54, 2 Sb 2.76
Sb: 0.0000 0.0000 0.5000  2 Cu 2.76, 4 Ti 2.77

**Formation energy from raw total energies**: 0.10 eV per formula unit

---

Crystalline ZnCuRu2 at its relaxed geometry, computed with PBE-GGA.

Unit cell a=2.7867 b=2.7867 c=6.9833 alpha=90.00 beta=90.00 gamma=90.00
Last column: nearest neighbours and their distance in Å.
Space group P4mm (No. 99)
Symmetry-distinct sites (fractional):
Zn: 0.0000 0.0000 0.0000  4 Cu 2.56, 4 Ru 2.71, 4 Zn 2.79
Cu: 0.5000 0.5000 0.2346  4 Zn 2.56, 4 Ru 2.68, 4 Cu 2.79
Ru: 0.0000 0.0000 0.4949  8 Ru 2.58-2.79, 4 Cu 2.68
Ru: 0.5000 0.5000 0.7340  8 Ru 2.58-2.79, 4 Zn 2.71

**Energy of formation**: 0.0 eV per formula unit

---

Copy entry 3 word for word.
Crystalline Ti2CuSb at its relaxed geometry, computed with PBE-GGA.

Unit cell a=7.2381 b=7.2381 c=5.5103 alpha=90.00 beta=90.00 gamma=90.00
Last column: nearest neighbours and their distance in Å.
Space group I-42d (No. 122)
Symmetry-distinct sites (fractional):
Ti: 0.2268 0.7500 0.1250  2 Cu 2.54, 2 Sb 2.77, 2 Ti 2.78
Cu: 0.0000 0.0000 0.0000  4 Ti 2.54, 2 Sb 2.76
Sb: 0.0000 0.0000 0.5000  2 Cu 2.76, 4 Ti 2.77

**Formation energy from raw total energies**: 0.10 eV per formula unit

---

Number 1 is which compound? Sc2CoNi

---

What is the formula in the second record? AgHg3

---

What did the fourth record say?
Crystalline ZnCuRu2 at its relaxed geometry, computed with PBE-GGA.

Unit cell a=2.7867 b=2.7867 c=6.9833 alpha=90.00 beta=90.00 gamma=90.00
Last column: nearest neighbours and their distance in Å.
Space group P4mm (No. 99)
Symmetry-distinct sites (fractional):
Zn: 0.0000 0.0000 0.0000  4 Cu 2.56, 4 Ru 2.71, 4 Zn 2.79
Cu: 0.5000 0.5000 0.2346  4 Zn 2.56, 4 Ru 2.68, 4 Cu 2.79
Ru: 0.0000 0.0000 0.4949  8 Ru 2.58-2.79, 4 Cu 2.68
Ru: 0.5000 0.5000 0.7340  8 Ru 2.58-2.79, 4 Zn 2.71

**Energy of formation**: 0.0 eV per formula unit